# LiMn2P2H4O10 meta-GGA SCAN single point on PBEsol structure
data_LiMn2P2H4O10
_symmetry_space_group_name_H-M 'P 1'
_symmetry_Int_Tables_number 1
_cell_length_a 5.074
_cell_length_b 5.307
_cell_length_c 7.498
_cell_angle_alpha 104.36
_cell_angle_beta 103.73
_cell_angle_gamma 99.88
loop_
_symmetry_equiv_pos_as_xyz
'x,y,z'
loop_
_atom_site_label
_atom_site_type_symbol
_atom_site_fract_x
_atom_site_fract_y
_atom_site_fract_z
O1 O 0.672 0.739 0.842
O2 O 0.683 0.345 0.575
O3 O 0.899 0.108 0.256
O4 O 0.108 0.877 0.746
O5 O 0.298 0.645 0.420
O6 O 0.242 0.346 0.686
O7 O 0.687 0.289 0.896
O8 O 0.331 0.729 0.106
O9 O 0.316 0.276 0.137
O10 O 0.751 0.662 0.334
P1 P 0.428 0.582 0.255
P2 P 0.569 0.431 0.748
Mn1 Mn 0.511 0.008 0.003
Mn2 Mn 0.991 0.491 0.495
H1 H 0.876 0.936 0.294
H2 H 0.925 0.850 0.785
H3 H 0.072 0.134 0.209
H4 H 0.126 0.028 0.688
Li1 Li 0.089 0.387 0.918
# Total moment in μB per cell: 9.00
# Raw total energy in Ry per atom: -0.6725
# Space group: P1, No. 1
# Fermi-level density of states in states/eV/cell: 3.473

=====

# Li2MnPHO5 meta-GGA SCAN single point on PBEsol structure
data_Li2MnPHO5
_symmetry_space_group_name_H-M 'P 1'
_symmetry_Int_Tables_number 1
_cell_length_a 5.037
_cell_length_b 5.772
_cell_length_c 7.534
_cell_angle_alpha 105.87
_cell_angle_beta 108.47
_cell_angle_gamma 95.81
loop_
_symmetry_equiv_pos_as_xyz
'x,y,z'
loop_
_atom_site_label
_atom_site_type_symbol
_atom_site_fract_x
_atom_site_fract_y
_atom_site_fract_z
O1 O 0.911 0.374 0.138
O2 O 0.386 0.391 0.646
O3 O 0.603 0.759 0.943
O4 O 0.177 0.942 0.272
O5 O 0.612 0.598 0.320
O6 O 0.058 0.621 0.801
O7 O 0.839 0.080 0.723
O8 O 0.306 0.797 0.608
O9 O 0.712 0.197 0.356
O10 O 0.381 0.205 0.023
Li1 Li 0.558 0.842 0.190
Li2 Li 0.808 0.407 0.876
Li3 Li 0.225 0.637 0.324
Li4 Li 0.706 0.497 0.562
P1 P 0.334 0.646 0.753
P2 P 0.649 0.342 0.202
H1 H 0.641 0.982 0.658
H2 H 0.353 0.073 0.334
Mn1 Mn 0.071 0.072 0.544
Mn2 Mn 0.996 0.000 0.992
# Total moment in μB per cell: 10.00
# Raw total energy in Ry per atom: -0.6648
# Space group: P1, No. 1
# Fermi-level density of states in states/eV/cell: 0.000

=====

# Li4Mn2P4H3O16 meta-GGA SCAN single point on PBEsol structure
data_Li4Mn2P4H3O16
_symmetry_space_group_name_H-M 'P 1'
_symmetry_Int_Tables_number 1
_cell_length_a 4.887
_cell_length_b 7.592
_cell_length_c 8.046
_cell_angle_alpha 91.03
_cell_angle_beta 91.40
_cell_angle_gamma 101.56
loop_
_symmetry_equiv_pos_as_xyz
'x,y,z'
loop_
_atom_site_label
_atom_site_type_symbol
_atom_site_fract_x
_atom_site_fract_y
_atom_site_fract_z
H1 H 0.506 0.509 0.312
H2 H 0.973 0.994 0.996
H3 H 0.451 0.473 0.544
Li1 Li 0.630 0.168 0.877
Li2 Li 0.861 0.312 0.343
Li3 Li 0.147 0.678 0.663
Li4 Li 0.364 0.845 0.129
O1 O 0.013 0.303 0.835
O2 O 0.904 0.176 0.542
O3 O 0.769 0.953 0.934
O4 O 0.861 0.647 0.824
O5 O 0.188 0.374 0.193
O6 O 0.675 0.544 0.388
O7 O 0.361 0.147 0.690
O8 O 0.639 0.862 0.317
O9 O 0.534 0.813 0.673
O10 O 0.454 0.181 0.346
O11 O 0.225 0.057 0.071
O12 O 0.269 0.454 0.603
O13 O 0.637 0.315 0.078
O14 O 0.075 0.802 0.471
O15 O 0.402 0.676 0.952
O16 O 0.981 0.704 0.169
P1 P 0.370 0.228 0.167
P2 P 0.643 0.767 0.846
P3 P 0.132 0.259 0.669
P4 P 0.855 0.741 0.336
Mn1 Mn 0.011 0.502 0.005
Mn2 Mn 0.499 0.998 0.508
# Total moment in μB per cell: 9.00
# Raw total energy in Ry per atom: -0.6682
# Space group: P1, No. 1
# Fermi-level density of states in states/eV/cell: 3.690

=====

Among the records above, which one has the highest raw total energy?
Li2MnPHO5

=====

The lowest raw total energy belongs to which entry?
LiMn2P2H4O10

=====

Copy entry 2 word for word.
# Li2MnPHO5 meta-GGA SCAN single point on PBEsol structure
data_Li2MnPHO5
_symmetry_space_group_name_H-M 'P 1'
_symmetry_Int_Tables_number 1
_cell_length_a 5.037
_cell_length_b 5.772
_cell_length_c 7.534
_cell_angle_alpha 105.87
_cell_angle_beta 108.47
_cell_angle_gamma 95.81
loop_
_symmetry_equiv_pos_as_xyz
'x,y,z'
loop_
_atom_site_label
_atom_site_type_symbol
_atom_site_fract_x
_atom_site_fract_y
_atom_site_fract_z
O1 O 0.911 0.374 0.138
O2 O 0.386 0.391 0.646
O3 O 0.603 0.759 0.943
O4 O 0.177 0.942 0.272
O5 O 0.612 0.598 0.320
O6 O 0.058 0.621 0.801
O7 O 0.839 0.080 0.723
O8 O 0.306 0.797 0.608
O9 O 0.712 0.197 0.356
O10 O 0.381 0.205 0.023
Li1 Li 0.558 0.842 0.190
Li2 Li 0.808 0.407 0.876
Li3 Li 0.225 0.637 0.324
Li4 Li 0.706 0.497 0.562
P1 P 0.334 0.646 0.753
P2 P 0.649 0.342 0.202
H1 H 0.641 0.982 0.658
H2 H 0.353 0.073 0.334
Mn1 Mn 0.071 0.072 0.544
Mn2 Mn 0.996 0.000 0.992
# Total moment in μB per cell: 10.00
# Raw total energy in Ry per atom: -0.6648
# Space group: P1, No. 1
# Fermi-level density of states in states/eV/cell: 0.000